No. 1
## PuHf2Mo (GGA-PBE)

Data for a geometry-optimized PuHf2Mo structure.

Computed properties:
Total energy   -11.20 eV/atom

Cell lengths 3.3157, 3.3157, 7.8240 Å; angles 90.00, 90.00, 90.00 degrees
Site moments in Bohr magnetons follow the coordinates.
Sites, in units of the cell vectors:
Pu 0.5000 0.5000 0.5000  5.38
Mo 0.5000 0.5000 0.0000  0.24
Hf 0.0000 0.0000 0.2035  0.09
Hf 0.0000 0.0000 0.7965  0.09


No. 2
## PuHf2Mo (GGA-PBE)

Data for a geometry-optimized PuHf2Mo structure.

Computed properties:
Total energy   -11.03 eV/atom

Cell lengths 3.4018, 4.8833, 4.8833 Å; angles 90.00, 90.00, 90.00 degrees
Site moments in Bohr magnetons follow the coordinates.
Sites, in units of the cell vectors:
Mo 0.5000 0.0000 0.0000  -0.52
Hf 0.0000 0.5000 0.0000  0.11
Pu 0.5000 0.5000 0.5000  5.07
Hf 0.0000 0.0000 0.5000  0.11


no.,formation enthalpy at 0 K (eV per formula unit),distance to the lowest polymorph of the same formula (eV per formula unit)
1,0.26,0.00
2,0.95,0.69